(1)
First-principles (GGA-PBEsol) data for a relaxed Zr2BeMo crystal, as listed in Alexandria.

Unit cell a=4.4896 b=4.4896 c=3.3645 alpha=90.00 beta=90.00 gamma=90.00
Last column: nearest neighbours and their distance in Å.
Space group P4/mmm (No. 123)
Symmetry-distinct sites (fractional):
Zr (0.0000, 0.5000, 0.0000)  4 Mo 2.81, 4 Be 2.81
Be (0.0000, 0.0000, 0.5000)  8 Zr 2.81
Mo (0.5000, 0.5000, 0.5000)  8 Zr 2.81

formation enthalpy at 0 K: 0.006 eV/atom
magnetization: 0.000 μB per formula unit
uncorrected energy: -8.481 eV/atom
D(E_F): 3.82 states/eV/cell

***

(2)
First-principles (GGA-PBEsol) data for a relaxed ZrBe2Mo crystal, as listed in Alexandria.

Unit cell a=2.7379 b=2.7379 c=26.3802 alpha=90.00 beta=90.00 gamma=120.00
Last column: nearest neighbours and their distance in Å.
Space group R-3m (No. 166, hexagonal axes)
Symmetry-distinct sites (fractional):
Zr (0.0000, 0.0000, 0.0000)  6 Zr 2.74, 6 Be 2.85
Be (0.0000, 0.0000, 0.2434)  3 Mo 2.57, 6 Be 2.74, 3 Zr 2.85
Mo (0.0000, 0.0000, 0.5000)  6 Be 2.57, 6 Mo 2.74

formation enthalpy at 0 K: 0.420 eV/atom
magnetization: 0.000 μB per formula unit
uncorrected energy: -6.794 eV/atom
D(E_F): 6.98 states/eV/cell

***

(3)
First-principles (GGA-PBEsol) data for a relaxed ZrBe4Mo crystal, as listed in Alexandria.

Unit cell a=6.5116 b=6.5116 c=6.5116 alpha=90.00 beta=90.00 gamma=90.00
Last column: nearest neighbours and their distance in Å.
Space group F-43m (No. 216)
Symmetry-distinct sites (fractional):
Zr (0.0000, 0.0000, 0.0000)  12 Be 2.70, 4 Mo 2.82
Be (0.1235, 0.1235, 0.3765)  6 Be 2.27-2.33
Mo (0.2500, 0.2500, 0.7500)  12 Be 2.70, 4 Zr 2.82

formation enthalpy at 0 K: -0.154 eV/atom
magnetization: 0.002 μB per formula unit
uncorrected energy: -6.297 eV/atom
D(E_F): 20.50 states/eV/cell

***

(4)
First-principles (GGA-PBEsol) data for a relaxed Zr2BeMo crystal, as listed in Alexandria.

Unit cell a=2.7748 b=2.7748 c=8.6692 alpha=90.00 beta=90.00 gamma=90.00
Last column: nearest neighbours and their distance in Å.
Space group P4mm (No. 99)
Symmetry-distinct sites (fractional):
Zr (0.0000, 0.0000, 0.0000)  4 Zr 2.77, 4 Mo 3.09
Zr (0.5000, 0.5000, 0.3248)  4 Be 2.71, 4 Zr 2.77
Be (0.0000, 0.0000, 0.5406)  4 Mo 2.53, 4 Zr 2.71, 4 Be 2.77
Mo (0.5000, 0.5000, 0.7247)  4 Be 2.53, 4 Mo 2.77

formation enthalpy at 0 K: 0.158 eV/atom
magnetization: 0.000 μB per formula unit
uncorrected energy: -8.329 eV/atom
D(E_F): 2.00 states/eV/cell

***

(5)
First-principles (GGA-PBEsol) data for a relaxed NaBeN3 crystal, as listed in Alexandria.

Unit cell a=4.1582 b=4.1582 c=4.1582 alpha=90.00 beta=90.00 gamma=90.00
Last column: nearest neighbours and their distance in Å.
Space group Pm-3m (No. 221)
Symmetry-distinct sites (fractional):
Na (0.0000, 0.0000, 0.0000)  6 N 2.08
Be (0.5000, 0.5000, 0.5000)  12 N 2.94
N (0.0000, 0.0000, 0.5000)  2 Na 2.08

magnetization: 5.917 μB per formula unit
uncorrected energy: -3.159 eV/atom
D(E_F): 2.95 states/eV/cell

***

(6)
First-principles (GGA-PBEsol) data for a relaxed NaBeN3 crystal, as listed in Alexandria.

Unit cell a=3.5315 b=3.5315 c=3.5315 alpha=90.00 beta=90.00 gamma=90.00
Last column: nearest neighbours and their distance in Å.
Space group Pm-3m (No. 221)
Symmetry-distinct sites (fractional):
Na (0.0000, 0.0000, 0.0000)  12 N 2.50
Be (0.5000, 0.5000, 0.5000)  6 N 1.77
N (0.0000, 0.5000, 0.5000)  2 Be 1.77

magnetization: 0.002 μB per formula unit
uncorrected energy: -4.979 eV/atom
D(E_F): 2.67 states/eV/cell

***

(7)
First-principles (GGA-PBEsol) data for a relaxed NaBeN2O crystal, as listed in Alexandria.

Unit cell a=3.4427 b=3.4427 c=3.7638 alpha=90.00 beta=90.00 gamma=90.00
Last column: nearest neighbours and their distance in Å.
Space group P4/mmm (No. 123)
Symmetry-distinct sites (fractional):
Na (0.0000, 0.0000, 0.0000)  4 O 2.43, 8 N 2.55
Be (0.5000, 0.5000, 0.5000)  4 N 1.72, 2 O 1.88
N (0.0000, 0.5000, 0.5000)  2 Be 1.72
O (0.5000, 0.5000, 0.0000)  2 Be 1.88

magnetization: 1.600 μB per formula unit
uncorrected energy: -4.999 eV/atom
D(E_F): 3.41 states/eV/cell

***

(8)
First-principles (GGA-PBEsol) data for a relaxed NaBeTe2N crystal, as listed in Alexandria.

Unit cell a=4.8255 b=4.8255 c=5.5225 alpha=90.00 beta=90.00 gamma=90.00
Last column: nearest neighbours and their distance in Å.
Space group P4/mmm (No. 123)
Symmetry-distinct sites (fractional):
Na (0.0000, 0.0000, 0.0000)  2 Be 2.76
Be (0.0000, 0.0000, 0.5000)  4 Te 2.41
Te (0.0000, 0.5000, 0.5000)  2 Be 2.41
N (0.5000, 0.5000, 0.0000)  4 Na 3.41, 8 Te 3.67

magnetization: 2.650 μB per formula unit
uncorrected energy: -3.139 eV/atom
D(E_F): 2.52 states/eV/cell

***

(9)
First-principles (GGA-PBEsol) data for a relaxed BeNbN2O crystal, as listed in Alexandria.

Unit cell a=4.0447 b=4.0447 c=3.8913 alpha=90.00 beta=90.00 gamma=90.00
Last column: nearest neighbours and their distance in Å.
Space group P4/mmm (No. 123)
Symmetry-distinct sites (fractional):
Be (0.0000, 0.0000, 0.0000)  8 N 2.81, 4 O 2.86
Nb (0.5000, 0.5000, 0.5000)  2 O 1.95, 4 N 2.02
N (0.0000, 0.5000, 0.5000)  2 Nb 2.02
O (0.5000, 0.5000, 0.0000)  2 Nb 1.95

magnetization: 0.012 μB per formula unit
uncorrected energy: -7.253 eV/atom
D(E_F): 3.89 states/eV/cell

***

(10)
First-principles (GGA-PBEsol) data for a relaxed ScBeNb2N crystal, as listed in Alexandria.

Unit cell a=4.7874 b=4.7874 c=3.9076 alpha=90.00 beta=90.00 gamma=90.00
Last column: nearest neighbours and their distance in Å.
Space group P4/mmm (No. 123)
Symmetry-distinct sites (fractional):
Sc (0.0000, 0.0000, 0.0000)  2 N 1.95
Be (0.5000, 0.5000, 0.5000)  8 Nb 3.09, 4 N 3.39
Nb (0.0000, 0.5000, 0.0000)  2 Sc 2.39
N (0.0000, 0.0000, 0.5000)  2 Sc 1.95

magnetization: 0.000 μB per formula unit
uncorrected energy: -6.398 eV/atom
D(E_F): 6.46 states/eV/cell

***

(11)
First-principles (GGA-PBEsol) data for a relaxed Sc2BeNbN crystal, as listed in Alexandria.

Unit cell a=4.5486 b=4.5486 c=4.2459 alpha=90.00 beta=90.00 gamma=90.00
Last column: nearest neighbours and their distance in Å.
Space group P4/mmm (No. 123)
Symmetry-distinct sites (fractional):
Sc (0.0000, 0.5000, 0.0000)  2 Be 2.27
Be (0.0000, 0.0000, 0.0000)  2 Nb 2.12, 4 Sc 2.27
Nb (0.0000, 0.0000, 0.5000)  2 Be 2.12
N (0.5000, 0.5000, 0.5000)  8 Sc 3.11, 4 Nb 3.22

magnetization: 1.026 μB per formula unit
uncorrected energy: -6.231 eV/atom
D(E_F): 4.07 states/eV/cell

***

(12)
First-principles (GGA-PBEsol) data for a relaxed BeNiN3 crystal, as listed in Alexandria.

Unit cell a=3.3892 b=3.3892 c=3.3892 alpha=90.00 beta=90.00 gamma=90.00
Last column: nearest neighbours and their distance in Å.
Space group Pm-3m (No. 221)
Symmetry-distinct sites (fractional):
Be (0.0000, 0.0000, 0.0000)  6 N 1.69
Ni (0.5000, 0.5000, 0.5000)  12 N 2.40
N (0.0000, 0.0000, 0.5000)  2 Be 1.69

magnetization: 0.002 μB per formula unit
uncorrected energy: -5.705 eV/atom
D(E_F): 3.58 states/eV/cell

***

(13)
First-principles (GGA-PBEsol) data for a relaxed Be3NO crystal, as listed in Alexandria.

Unit cell a=3.3316 b=3.3316 c=3.3316 alpha=90.00 beta=90.00 gamma=90.00
Last column: nearest neighbours and their distance in Å.
Space group Pm-3m (No. 221)
Symmetry-distinct sites (fractional):
Be (0.0000, 0.0000, 0.5000)  2 N 1.67
N (0.0000, 0.0000, 0.0000)  6 Be 1.67
O (0.5000, 0.5000, 0.5000)  12 Be 2.36

magnetization: 0.000 μB per formula unit
uncorrected energy: -5.728 eV/atom
D(E_F): 1.11 states/eV/cell

***

(14)
First-principles (GGA-PBEsol) data for a relaxed BeOsNO2 crystal, as listed in Alexandria.

Unit cell a=3.8276 b=3.8276 c=3.7964 alpha=90.00 beta=90.00 gamma=90.00
Last column: nearest neighbours and their distance in Å.
Space group P4/mmm (No. 123)
Symmetry-distinct sites (fractional):
Be (0.0000, 0.0000, 0.0000)  8 O 2.70, 4 N 2.71
Os (0.5000, 0.5000, 0.5000)  2 N 1.90, 4 O 1.91
N (0.5000, 0.5000, 0.0000)  2 Os 1.90
O (0.0000, 0.5000, 0.5000)  2 Os 1.91

magnetization: 0.002 μB per formula unit
uncorrected energy: -6.847 eV/atom
D(E_F): 2.86 states/eV/cell

***

(15)
First-principles (GGA-PBEsol) data for a relaxed BeSNO2 crystal, as listed in Alexandria.

Unit cell a=3.3569 b=3.3569 c=3.7709 alpha=90.00 beta=90.00 gamma=90.00
Last column: nearest neighbours and their distance in Å.
Space group P4/mmm (No. 123)
Symmetry-distinct sites (fractional):
Be (0.0000, 0.0000, 0.0000)  4 N 2.37, 8 O 2.52
S (0.5000, 0.5000, 0.5000)  4 O 1.68
N (0.5000, 0.5000, 0.0000)  2 S 1.89
O (0.0000, 0.5000, 0.5000)  2 S 1.68

magnetization: 0.000 μB per formula unit
uncorrected energy: -5.010 eV/atom
D(E_F): 0.52 states/eV/cell

***

(16)
First-principles (GGA-PBEsol) data for a relaxed BeSeNO2 crystal, as listed in Alexandria.

Unit cell a=3.5387 b=3.5387 c=4.0822 alpha=90.00 beta=90.00 gamma=90.00
Last column: nearest neighbours and their distance in Å.
Space group P4/mmm (No. 123)
Symmetry-distinct sites (fractional):
Be (0.0000, 0.0000, 0.0000)  4 Se 2.50, 8 O 2.70
Se (0.5000, 0.5000, 0.0000)  2 N 2.04
N (0.5000, 0.5000, 0.5000)  4 O 1.77
O (0.0000, 0.5000, 0.5000)  2 N 1.77

magnetization: 0.602 μB per formula unit
uncorrected energy: -4.330 eV/atom
D(E_F): 3.12 states/eV/cell

***

(17)
First-principles (GGA-PBEsol) data for a relaxed BeSeNO2 crystal, as listed in Alexandria.

Unit cell a=3.0765 b=3.0765 c=6.1753 alpha=90.00 beta=90.00 gamma=90.00
Last column: nearest neighbours and their distance in Å.
Space group P4/mmm (No. 123)
Symmetry-distinct sites (fractional):
Be (0.0000, 0.0000, 0.0000)  4 O 1.54
Se (0.5000, 0.5000, 0.5000)  4 N 2.18
N (0.0000, 0.0000, 0.5000)  4 Se 2.18
O (0.0000, 0.5000, 0.0000)  2 Be 1.54

magnetization: 0.002 μB per formula unit
uncorrected energy: -5.265 eV/atom
D(E_F): 2.71 states/eV/cell

***

(18)
First-principles (GGA-PBEsol) data for a relaxed BeTeNO2 crystal, as listed in Alexandria.

Unit cell a=3.5038 b=3.5038 c=3.6497 alpha=90.00 beta=90.00 gamma=90.00
Last column: nearest neighbours and their distance in Å.
Space group P4/mmm (No. 123)
Symmetry-distinct sites (fractional):
Be (0.0000, 0.0000, 0.0000)  4 O 1.75, 2 N 1.82
Te (0.5000, 0.5000, 0.5000)  4 N 2.48, 8 O 2.53
N (0.0000, 0.0000, 0.5000)  2 Be 1.82
O (0.0000, 0.5000, 0.0000)  2 Be 1.75

magnetization: 0.000 μB per formula unit
uncorrected energy: -5.570 eV/atom
D(E_F): 2.72 states/eV/cell

***

(19)
First-principles (GGA-PBEsol) data for a relaxed BeWNO2 crystal, as listed in Alexandria.

Unit cell a=3.2186 b=3.2186 c=3.7318 alpha=90.00 beta=90.00 gamma=90.00
Last column: nearest neighbours and their distance in Å.
Space group P4/mmm (No. 123)
Symmetry-distinct sites (fractional):
Be (0.0000, 0.0000, 0.0000)  4 O 1.61
W (0.5000, 0.5000, 0.5000)  4 N 2.28, 8 O 2.46
N (0.0000, 0.0000, 0.5000)  2 Be 1.87
O (0.0000, 0.5000, 0.0000)  2 Be 1.61

magnetization: 0.000 μB per formula unit
uncorrected energy: -7.865 eV/atom
D(E_F): 1.78 states/eV/cell

***

(20)
First-principles (GGA-PBEsol) data for a relaxed BeWNO2 crystal, as listed in Alexandria.

Unit cell a=3.8093 b=3.8093 c=3.9875 alpha=90.00 beta=90.00 gamma=90.00
Last column: nearest neighbours and their distance in Å.
Space group P4/mmm (No. 123)
Symmetry-distinct sites (fractional):
Be (0.0000, 0.0000, 0.0000)  4 N 2.69, 8 O 2.76
W (0.5000, 0.5000, 0.5000)  4 O 1.90, 2 N 1.99
N (0.5000, 0.5000, 0.0000)  2 W 1.99
O (0.0000, 0.5000, 0.5000)  2 W 1.90

magnetization: 0.000 μB per formula unit
uncorrected energy: -7.952 eV/atom
D(E_F): 1.54 states/eV/cell

***

(21)
First-principles (GGA-PBEsol) data for a relaxed BeZnN2O crystal, as listed in Alexandria.

Unit cell a=3.0891 b=3.0891 c=5.1695 alpha=90.00 beta=90.00 gamma=90.00
Last column: nearest neighbours and their distance in Å.
Space group P4/mmm (No. 123)
Symmetry-distinct sites (fractional):
Be (0.0000, 0.0000, 0.0000)  4 N 1.54
Zn (0.5000, 0.5000, 0.5000)  4 O 2.18
N (0.0000, 0.5000, 0.0000)  2 Be 1.54
O (0.0000, 0.0000, 0.5000)  4 Zn 2.18

magnetization: 0.006 μB per formula unit
uncorrected energy: -4.944 eV/atom
D(E_F): 2.89 states/eV/cell

***

(22)
First-principles (GGA-PBEsol) data for a relaxed ZrBeN2O crystal, as listed in Alexandria.

Unit cell a=3.3222 b=3.3222 c=3.7983 alpha=90.00 beta=90.00 gamma=90.00
Last column: nearest neighbours and their distance in Å.
Space group P4/mmm (No. 123)
Symmetry-distinct sites (fractional):
Zr (0.0000, 0.0000, 0.0000)  4 O 2.35, 8 N 2.52
Be (0.5000, 0.5000, 0.5000)  4 N 1.66
N (0.0000, 0.5000, 0.5000)  2 Be 1.66
O (0.5000, 0.5000, 0.0000)  2 Be 1.90

magnetization: 0.000 μB per formula unit
uncorrected energy: -7.960 eV/atom
D(E_F): 1.80 states/eV/cell

***

(23)
First-principles (GGA-PBEsol) data for a relaxed BeOsSe2N crystal, as listed in Alexandria.

Unit cell a=5.0068 b=5.0068 c=3.6252 alpha=90.00 beta=90.00 gamma=90.00
Last column: nearest neighbours and their distance in Å.
Space group P4/mmm (No. 123)
Symmetry-distinct sites (fractional):
Be (0.0000, 0.0000, 0.0000)  8 Se 3.09
Os (0.5000, 0.5000, 0.5000)  2 N 1.81
Se (0.0000, 0.5000, 0.5000)  2 Os 2.50
N (0.5000, 0.5000, 0.0000)  2 Os 1.81

magnetization: 0.000 μB per formula unit
uncorrected energy: -5.785 eV/atom
D(E_F): 2.95 states/eV/cell

***

(24)
First-principles (GGA-PBEsol) data for a relaxed BeP2N4 crystal, as listed in Alexandria.

Unit cell a=12.7136 b=12.7136 c=8.3437 alpha=90.00 beta=90.00 gamma=120.00
Last column: nearest neighbours and their distance in Å.
Space group R-3 (No. 148, hexagonal axes)
Symmetry-distinct sites (fractional):
Be (0.0188, 0.2119, 0.2500)  4 N 1.72-1.75
P (0.0142, 0.2102, 0.9173)  4 N 1.63-1.65
P (0.0189, 0.2132, 0.5828)  4 N 1.63-1.65
N (0.0008, 0.6637, 0.7507)  2 P 1.64, 1 Be 1.72
N (0.0814, 0.2046, 0.7514)  2 P 1.65, 1 Be 1.74
N (0.0901, 0.2118, 0.0753)  2 P 1.63-1.64, 1 Be 1.72
N (0.0946, 0.2126, 0.4248)  2 P 1.63-1.64, 1 Be 1.75

magnetization: 0.000 μB per formula unit
uncorrected energy: -7.957 eV/atom
D(E_F): 0.00 states/eV/cell

***

(25)
First-principles (GGA-PBEsol) data for a relaxed BePSe2N crystal, as listed in Alexandria.

Unit cell a=4.7748 b=4.7748 c=3.1289 alpha=90.00 beta=90.00 gamma=90.00
Last column: nearest neighbours and their distance in Å.
Space group P4/mmm (No. 123)
Symmetry-distinct sites (fractional):
Be (0.0000, 0.0000, 0.0000)  2 N 1.56
P (0.5000, 0.5000, 0.5000)  8 Se 2.85, 2 P 3.13
Se (0.0000, 0.5000, 0.0000)  2 Be 2.39
N (0.0000, 0.0000, 0.5000)  2 Be 1.56

magnetization: 0.004 μB per formula unit
uncorrected energy: -4.613 eV/atom
D(E_F): 3.77 states/eV/cell

***

(26)
First-principles (GGA-PBEsol) data for a relaxed BePSe2N crystal, as listed in Alexandria.

Unit cell a=4.8762 b=4.8762 c=3.2191 alpha=90.00 beta=90.00 gamma=90.00
Last column: nearest neighbours and their distance in Å.
Space group P4/mmm (No. 123)
Symmetry-distinct sites (fractional):
Be (0.0000, 0.0000, 0.0000)  8 Se 2.92, 2 Be 3.22
P (0.5000, 0.5000, 0.5000)  2 N 1.61
Se (0.0000, 0.5000, 0.5000)  2 P 2.44
N (0.5000, 0.5000, 0.0000)  2 P 1.61

magnetization: 0.000 μB per formula unit
uncorrected energy: -4.586 eV/atom
D(E_F): 2.35 states/eV/cell

***

(27)
First-principles (GGA-PBEsol) data for a relaxed BePbSN2 crystal, as listed in Alexandria.

Unit cell a=3.8232 b=3.8232 c=4.5954 alpha=90.00 beta=90.00 gamma=90.00
Last column: nearest neighbours and their distance in Å.
Space group P4/mmm (No. 123)
Symmetry-distinct sites (fractional):
Be (0.0000, 0.0000, 0.0000)  4 N 1.91
Pb (0.5000, 0.5000, 0.5000)  4 S 2.70, 8 N 2.99
S (0.0000, 0.0000, 0.5000)  2 Be 2.30
N (0.0000, 0.5000, 0.0000)  2 Be 1.91

magnetization: 3.196 μB per formula unit
uncorrected energy: -4.936 eV/atom
D(E_F): 2.26 states/eV/cell